1.
A relaxed EuB2Rh3 crystal, computed with GGA-PBEsol.

Its symmetry is P6/mmm, No. 191. Its formation energy is -0.661 eV/atom. Its density of states at the Fermi level is 1.424 states/eV/atom.

a = 5.561 Å, b = 5.561 Å, c = 2.914 Å
α = 90.00°, β = 90.00°, γ = 120.00°
Positions (direct):
Eu 0.000 0.000 0.000
B 0.333 0.667 0.000
B 0.667 0.333 0.000
Rh 0.000 0.500 0.500
Rh 0.500 0.000 0.500
Rh 0.500 0.500 0.500

---

2.
A relaxed WCl6 crystal, computed with GGA-PBEsol.

Its symmetry is R-3, No. 148. Its density of states at the Fermi level is 0.000 states/eV/atom. The value obtained for the uncorrected formation energy is -835.3 meV/atom.

a = 6.612 Å, b = 6.612 Å, c = 6.612 Å
α = 55.63°, β = 55.63°, γ = 55.63°
Positions (direct):
W 0.000 0.000 0.000
Cl 0.082 0.380 0.775
Cl 0.225 0.918 0.620
Cl 0.380 0.775 0.082
Cl 0.620 0.225 0.918
Cl 0.775 0.082 0.380
Cl 0.918 0.620 0.225